1.
A relaxed structure of ThTl2InBr8. Source: Alexandria, functional PBE.

POSCAR file:
```
ThTl2InBr8
1.0
7.637 -0.148 -0.004
-0.145 7.112 -0.009
0.005 0.011 9.056
Th Tl In Br
1 2 1 8
direct
0.000 0.000 0.000
0.500 0.500 0.738
0.500 0.500 0.262
0.000 0.000 0.500
0.136 0.775 0.235
0.684 0.779 0.000
0.864 0.225 0.235
0.864 0.225 0.765
0.316 0.221 0.000
0.136 0.775 0.765
0.697 0.769 0.500
0.303 0.231 0.500
```

Energy in eV per atom: -3.508
Crystal system: monoclinic
Energy relative to the elements, uncorrected in eV/atom: -1.15
Symmetry: P2/m (10)

***

2.
A relaxed structure of AcY2Bi. Source: Alexandria, functional PBE.

POSCAR file:
```
AcY2Bi
1.0
4.956 0.000 0.000
0.000 5.100 0.000
0.000 0.000 5.100
Y Ac Bi
2 1 1
direct
0.000 0.000 0.500
0.000 0.500 0.000
0.500 0.500 0.500
0.500 0.000 0.000
```

Energy in eV per atom: -5.547
Energy relative to the lowest polymorph listed for this composition in meV per atom: 38
Crystal system: tetragonal
Calculated formation energy in meV/atom: -318
Symmetry: P4/mmm (123)

***

3.
A relaxed structure of YMgOs2. Source: Alexandria, functional PBE.

POSCAR file:
```
YMgOs2
1.0
7.584 0.000 0.000
0.000 7.584 0.000
3.792 3.792 2.660
Y Mg Os
2 2 4
direct
0.000 0.000 0.000
0.750 0.250 0.500
0.500 0.500 0.000
0.250 0.750 0.500
0.604 0.125 0.250
0.146 0.625 0.250
0.375 0.396 0.750
0.875 0.854 0.750
```

Energy in eV per atom: -6.883
Crystal system: tetragonal
Calculated formation energy in meV/atom: 747
Symmetry: I-42d (122)

***

4.
A relaxed structure of Pm8Y3Th. Source: Alexandria, functional PBE.

POSCAR file:
```
Pm8Y3Th
1.0
8.376 -1.318 -2.287
-5.994 6.278 -1.334
1.215 1.318 8.597
Pm Y Th
8 3 1
direct
0.498 0.240 0.258
0.502 0.760 0.742
0.018 0.760 0.258
0.982 0.240 0.742
0.165 0.250 0.415
0.835 0.250 0.084
0.165 0.750 0.916
0.835 0.750 0.585
0.500 0.744 0.244
0.500 0.256 0.756
0.000 0.500 0.500
0.000 0.000 0.000
```

Energy in eV per atom: -5.056
Crystal system: orthorhombic
Calculated formation energy in meV/atom: 345
Symmetry: Immm (71)